1.
The following is a PBE calculation of crystalline LiSm2Ni4As3 at its relaxed geometry, from Alexandria.

Formation energy (eV per atom): -0.780
Uncorrected energy (eV/cell): -56.22
Symmetry: P-4m2, No. 115
Crystal system: tetragonal
V (Å³/atom): 16.1

Structure (POSCAR):
```
LiSm2Ni4As3
1.0
4.087 0.000 0.000
0.000 4.087 0.000
0.000 0.000 9.630
Li Sm Ni As
1 2 4 3
direct
0.000 0.000 0.000
0.000 0.500 0.744
0.500 0.000 0.256
0.000 0.000 0.500
0.000 0.500 0.124
0.500 0.000 0.876
0.500 0.500 0.500
0.000 0.500 0.365
0.500 0.000 0.635
0.500 0.500 0.000
```

---

2.
The following is a PBE calculation of crystalline CaSbN2O at its relaxed geometry, from Alexandria.

Uncorrected energy (eV/cell): -22.79
Symmetry: P4/mmm, No. 123
Crystal system: tetragonal
V (Å³/atom): 16.9

Structure (POSCAR):
```
CaSbN2O
1.0
4.460 0.000 0.000
0.000 4.460 0.000
0.000 0.000 4.241
Ca Sb N O
1 1 2 1
direct
0.000 0.000 0.000
0.500 0.500 0.500
0.000 0.500 0.000
0.500 0.000 0.000
0.000 0.000 0.500
```

---

3.
The following is a PBE calculation of crystalline ZnPtC2Se at its relaxed geometry, from Alexandria.

Uncorrected energy (eV/cell): -18.71
Symmetry: P4/mmm, No. 123
Crystal system: tetragonal
V (Å³/atom): 15.3

Structure (POSCAR):
```
ZnPtC2Se
1.0
3.871 0.000 0.000
0.000 3.871 0.000
0.000 0.000 5.092
Zn Pt C Se
1 1 2 1
direct
0.000 0.000 0.000
0.500 0.500 0.000
0.000 0.500 0.500
0.500 0.000 0.500
0.500 0.500 0.500
```